8
Lattice="6.727 -4.569 0.000 6.727 4.569 0.000 -3.859 0.000 6.607" Properties=species:S:1:pos:R:3 comment="PBE Li2PrI5, optimized geometry" sg="Cm (8)" dft_energy_ev_per_atom=-3.282 formation_energy_uncorrected_ev_per_atom=-1.237 dos_at_fermi_per_ev_cell=0.000 volume_a3_per_cell=406.1 pbc="T T T"
Li 6.727 2.655 0.000
Li 6.727 -2.655 0.000
Pr 9.463 0.000 1.423
I -0.848 0.000 1.935
I 5.657 2.533 6.389
I 6.330 0.000 0.983
I 8.937 0.000 4.486
I 5.657 -2.533 6.389

---

6
Lattice="6.367 0.000 0.000 0.000 3.996 0.000 -2.219 0.000 7.057" Properties=species:S:1:pos:R:3 comment="PBE LiPrI, optimized geometry" sg="P2_1/m (11)" dft_energy_ev_per_atom=-3.285 formation_energy_uncorrected_ev_per_atom=-0.537 dos_at_fermi_per_ev_cell=2.779 volume_a3_per_cell=179.5 pbc="T T T"
Li 0.215 0.999 3.063
Li 3.934 2.997 3.994
Pr -0.912 0.999 6.238
Pr 5.060 2.997 0.819
I 1.929 2.997 1.696
I 2.220 0.999 5.360

---

14
Lattice="6.848 -5.018 0.000 6.848 5.018 0.000 -5.104 0.000 8.914" Properties=species:S:1:pos:R:3 comment="PBE LiPrI5, optimized geometry" sg="C2/c (15)" dft_energy_ev_per_atom=-3.074 formation_energy_uncorrected_ev_per_atom=-1.011 dos_at_fermi_per_ev_cell=10.592 volume_a3_per_cell=612.6 pbc="T T T"
Li 0.000 0.000 0.000
Li -2.552 0.000 4.457
Pr 3.019 0.707 6.686
Pr 5.572 -0.707 2.229
I 3.019 3.997 6.686
I 0.269 0.127 5.339
I 2.821 -0.127 0.882
I 4.415 1.839 3.921
I 6.728 1.839 0.536
I 1.863 -1.839 8.378
I 4.176 -1.839 4.993
I 5.770 0.127 8.032
I 8.322 -0.127 3.575
I 5.572 -3.997 2.229

---

14
Lattice="-4.142 4.624 6.553 4.142 -4.624 6.553 4.142 4.624 -6.553" Properties=species:S:1:pos:R:3 comment="PBE Li2PrI4, optimized geometry" sg="Imma (74)" dft_energy_ev_per_atom=-3.307 formation_energy_uncorrected_ev_per_atom=-1.191 dos_at_fermi_per_ev_cell=3.018 volume_a3_per_cell=502.1 pbc="T T T"
Li 0.000 0.000 0.000
Li 4.142 2.312 1.645
Li 0.000 4.624 0.000
Li 0.000 2.312 4.908
Pr 2.071 2.312 -3.276
Pr 2.071 -2.312 3.276
I 1.984 2.312 -0.076
I 2.158 -2.312 6.477
I 0.000 0.164 3.089
I 4.142 0.164 3.464
I 0.000 4.460 3.089
I 4.142 4.460 3.464
I 1.984 6.936 0.076
I 2.158 2.312 6.629